Material: ScGe3C
Method: DFT, GGA-PBE
State: relaxed

abc: 5.138 5.138 5.138
angles: 90.00 90.00 90.00
Sites, in units of the cell vectors:
Sc (0.000, 0.000, 0.000)
Ge (0.000, 0.000, 0.500)
Ge (0.000, 0.500, 0.000)
Ge (0.500, 0.000, 0.000)
C (0.500, 0.500, 0.500)

Computed properties:
D(E_F): 1.1400 states/eV per atom
Symmetry: Pm-3m (221)
Calculated volume: 135.62 Å³ per cell
E_form: 1.87 eV/atom
VASP energy: -4.0139 eV/atom
Distance to the lowest polymorph of the same formula: 1.204 eV per atom